(1)
The following is a PBE calculation of crystalline La2MgPb at its relaxed geometry, from Alexandria via LeMat-Bulk.

Cell and atoms, written as POSCAR:
```
La2MgPb
1.0
9.037 0.000 0.000
0.000 9.037 0.000
0.000 0.000 6.498
La Mg Pb
8 4 4
direct
0.244 0.750 0.125
0.250 0.244 0.875
0.250 0.256 0.375
0.256 0.750 0.625
0.744 0.250 0.625
0.750 0.744 0.375
0.750 0.756 0.875
0.756 0.250 0.125
0.000 0.000 0.500
0.000 0.500 0.750
0.500 0.000 0.250
0.500 0.500 0.000
0.000 0.000 0.000
0.000 0.500 0.250
0.500 0.000 0.750
0.500 0.500 0.500
```

Properties
Energy of formation   -29 kJ/mol of formula units

=====

(2)
The following is a PBE calculation of crystalline NdY5Ho3 at its relaxed geometry, from Alexandria via LeMat-Bulk.

Cell and atoms, written as POSCAR:
```
NdY5Ho3
1.0
-4.311 4.311 7.824
4.311 -4.311 7.824
4.311 4.311 -7.824
Nd Y Ho
2 10 6
direct
0.250 0.750 0.500
0.750 0.250 0.500
0.000 0.000 0.000
0.065 0.565 0.903
0.162 0.065 0.500
0.338 0.838 0.903
0.435 0.338 0.500
0.500 0.500 0.000
0.565 0.662 0.500
0.662 0.162 0.097
0.838 0.935 0.500
0.935 0.435 0.097
0.119 0.381 0.500
0.250 0.250 0.000
0.381 0.881 0.262
0.619 0.119 0.738
0.750 0.750 0.000
0.881 0.619 0.500
```

Properties
Energy of formation   240 kJ/mol of formula units
Energy above the lowest structure with this stoichiometry   55 meV per atom

=====

(3)
The following is a PBE calculation of crystalline Pr2Al2HgPd5 at its relaxed geometry, from Alexandria via LeMat-Bulk.

Cell and atoms, written as POSCAR:
```
Pr2Al2HgPd5
1.0
10.557 0.000 0.000
0.000 10.557 0.000
0.000 0.000 3.497
Pr Al Hg Pd
4 4 2 10
direct
0.178 0.322 0.000
0.322 0.822 0.000
0.678 0.178 0.000
0.822 0.678 0.000
0.121 0.621 0.000
0.379 0.121 0.000
0.621 0.879 0.000
0.879 0.379 0.000
0.000 0.000 0.000
0.500 0.500 0.000
0.000 0.500 0.500
0.059 0.787 0.500
0.213 0.059 0.500
0.287 0.559 0.500
0.441 0.287 0.500
0.500 0.000 0.500
0.559 0.713 0.500
0.713 0.441 0.500
0.787 0.941 0.500
0.941 0.213 0.500
```

Properties
Energy of formation   -622 kJ/mol of formula units